Entry 1:
# Cs3Na2US6, relaxed, DFT PBE
# **VASP energy**: -54.77 eV per cell
# **Formation energy without anion corrections**: -1.1265 eV per atom
# **Total magnetization**: 1.07 μB per formula unit
data_Cs3Na2US6
_symmetry_space_group_name_H-M 'P 1'
_symmetry_Int_Tables_number 1
_symmetry_space_group_name_Hall 'P 1'
_cell_length_a 7.421
_cell_length_b 7.421
_cell_length_c 8.203
_cell_angle_alpha 98.32
_cell_angle_beta 98.32
_cell_angle_gamma 120.06
loop_
_atom_site_label
_atom_site_fract_x
_atom_site_fract_y
_atom_site_fract_z
Cs1 0.180 0.820 0.500
Cs2 0.820 0.180 0.500
Cs3 0.500 0.500 0.500
Na1 0.335 0.665 0.000
Na2 0.665 0.335 0.000
U1 0.000 0.000 0.000
S1 0.937 0.650 0.818
S2 0.781 0.781 0.193
S3 0.063 0.350 0.182
S4 0.650 0.937 0.818
S5 0.219 0.219 0.807
S6 0.350 0.063 0.182



Entry 2:
# K3ScF, relaxed, DFT PBE
# **VASP energy**: -10.19 eV per cell
# **E above lowest polymorph**: 785 meV per atom
# **Formation energy without anion corrections**: 0.2611 eV per atom
# **Total magnetization**: 3.00 μB per formula unit
data_K3ScF
_symmetry_space_group_name_H-M 'P 1'
_symmetry_Int_Tables_number 1
_symmetry_space_group_name_Hall 'P 1'
_cell_length_a 7.365
_cell_length_b 7.365
_cell_length_c 7.365
_cell_angle_alpha 90.00
_cell_angle_beta 90.00
_cell_angle_gamma 90.00
loop_
_atom_site_label
_atom_site_fract_x
_atom_site_fract_y
_atom_site_fract_z
Sc1 0.000 0.000 0.000
K1 0.000 0.500 0.000
K2 0.000 0.000 0.500
K3 0.500 0.000 0.000
F1 0.500 0.500 0.500



Entry 3:
# Ce4Fe2Hg3, relaxed, DFT PBE
# **VASP energy**: -87.01 eV per cell
# **Total magnetization**: 0.47 μB per formula unit
# **Energy of formation from the pure elements**: -0.22 eV/atom
data_Ce4Fe2Hg3
_symmetry_space_group_name_H-M 'P 1'
_symmetry_Int_Tables_number 1
_symmetry_space_group_name_Hall 'P 1'
_cell_length_a 6.535
_cell_length_b 8.892
_cell_length_c 8.594
_cell_angle_alpha 121.15
_cell_angle_beta 86.32
_cell_angle_gamma 90.00
loop_
_atom_site_label
_atom_site_fract_x
_atom_site_fract_y
_atom_site_fract_z
Ce1 0.612 0.677 0.808
Ce2 0.888 0.869 0.192
Ce3 0.388 0.323 0.192
Ce4 0.112 0.131 0.808
Ce5 0.911 0.654 0.437
Ce6 0.589 0.217 0.563
Ce7 0.089 0.346 0.563
Ce8 0.411 0.783 0.437
Fe1 0.689 0.504 0.506
Fe2 0.811 0.998 0.494
Fe3 0.311 0.496 0.494
Fe4 0.189 0.002 0.506
Hg1 0.125 0.780 0.821
Hg2 0.375 0.959 0.179
Hg3 0.875 0.220 0.179
Hg4 0.625 0.041 0.821
Hg5 0.750 0.456 0.000
Hg6 0.250 0.544 0.000



Entry 4:
# NaReTc3, relaxed, DFT PBE
# **VASP energy**: -37.24 eV per cell
# **E above lowest polymorph**: 0 meV per atom
# **Total magnetization**: 2.74 μB per formula unit
# **Energy of formation from the pure elements**: 1.53 eV/atom
data_NaReTc3
_symmetry_space_group_name_H-M 'P 1'
_symmetry_Int_Tables_number 1
_symmetry_space_group_name_Hall 'P 1'
_cell_length_a 4.766
_cell_length_b 4.766
_cell_length_c 4.766
_cell_angle_alpha 90.00
_cell_angle_beta 90.00
_cell_angle_gamma 90.00
loop_
_atom_site_label
_atom_site_fract_x
_atom_site_fract_y
_atom_site_fract_z
Re1 0.000 0.000 0.000
Tc1 0.000 0.500 0.000
Tc2 0.000 0.000 0.500
Tc3 0.500 0.000 0.000
Na1 0.500 0.500 0.500